Model A:
# YCuB4

An optimized crystal structure of YCuB4 (GGA-PBE, the Open Quantum Materials Database).

Structure (CIF):
```
data_YCuB4
_cell_length_a 3.1591
_cell_length_b 5.2851
_cell_length_c 7.6287
_cell_angle_alpha 90.00
_cell_angle_beta 90.00
_cell_angle_gamma 90.00
_space_group_name_H-M_alt 'I m m m'
_space_group_IT_number 71
_space_group_name_Hall '-I 2 2'
loop_
_atom_site_label
_atom_site_type_symbol
_atom_site_fract_x
_atom_site_fract_y
_atom_site_fract_z
_atom_site_occupancy
Y1 Y 0.0000 0.0000 0.0000 1
Cu1 Cu 0.0000 0.0000 0.5000 1
B1 B 0.0000 0.3215 0.2603 1
```

Model B:
# YCuB4

An optimized crystal structure of YCuB4 (GGA-PBE, the Open Quantum Materials Database).

Structure (CIF):
```
data_YCuB4
_cell_length_a 3.2049
_cell_length_b 3.2049
_cell_length_c 6.6516
_cell_angle_alpha 90.00
_cell_angle_beta 90.00
_cell_angle_gamma 120.00
_space_group_name_H-M_alt 'P 6/m m m'
_space_group_IT_number 191
_space_group_name_Hall '-P 6 2'
loop_
_atom_site_label
_atom_site_type_symbol
_atom_site_fract_x
_atom_site_fract_y
_atom_site_fract_z
_atom_site_occupancy
Y1 Y 0.0000 0.0000 0.0000 1
Cu1 Cu 0.0000 0.0000 0.5000 1
B1 B 0.3333 0.6667 0.2832 1
```

Which is the most stable structure? model B is the most stable.

Model A:
# YZnCuB

An optimized crystal structure of YZnCuB (GGA-PBE, the Open Quantum Materials Database).

Structure (CIF):
```
data_YZnCuB
_cell_length_a 6.2360
_cell_length_b 6.2360
_cell_length_c 6.2360
_cell_angle_alpha 90.00
_cell_angle_beta 90.00
_cell_angle_gamma 90.00
_space_group_name_H-M_alt 'F -4 3 m'
_space_group_IT_number 216
_space_group_name_Hall 'F -4 2 3'
loop_
_atom_site_label
_atom_site_type_symbol
_atom_site_fract_x
_atom_site_fract_y
_atom_site_fract_z
_atom_site_occupancy
Y1 Y 0.0000 0.0000 0.0000 1
Zn1 Zn 0.2500 0.2500 0.2500 1
Cu1 Cu 0.2500 0.2500 0.7500 1
B1 B 0.0000 0.0000 0.5000 1
```

Model B:
# YZnCuB

An optimized crystal structure of YZnCuB (GGA-PBE, the Open Quantum Materials Database).

Structure (CIF):
```
data_YZnCuB
_cell_length_a 6.2200
_cell_length_b 6.2200
_cell_length_c 6.2200
_cell_angle_alpha 90.00
_cell_angle_beta 90.00
_cell_angle_gamma 90.00
_space_group_name_H-M_alt 'F -4 3 m'
_space_group_IT_number 216
_space_group_name_Hall 'F -4 2 3'
loop_
_atom_site_label
_atom_site_type_symbol
_atom_site_fract_x
_atom_site_fract_y
_atom_site_fract_z
_atom_site_occupancy
Y1 Y 0.0000 0.0000 0.0000 1
Zn1 Zn 0.2500 0.2500 0.7500 1
Cu1 Cu 0.0000 0.0000 0.5000 1
B1 B 0.2500 0.2500 0.2500 1
```

Which is the most stable structure? model B is the most stable.

Model A:
# DyB

An optimized crystal structure of DyB (GGA-PBE, the Open Quantum Materials Database).

Structure (CIF):
```
data_DyB
_cell_length_a 5.7277
_cell_length_b 5.7277
_cell_length_c 5.7277
_cell_angle_alpha 90.00
_cell_angle_beta 90.00
_cell_angle_gamma 90.00
_space_group_name_H-M_alt 'F -4 3 m'
_space_group_IT_number 216
_space_group_name_Hall 'F -4 2 3'
loop_
_atom_site_label
_atom_site_type_symbol
_atom_site_fract_x
_atom_site_fract_y
_atom_site_fract_z
_atom_site_occupancy
Dy1 Dy 0.0000 0.0000 0.0000 1
B1 B 0.2500 0.2500 0.2500 1
```

Model B:
# DyB

An optimized crystal structure of DyB (GGA-PBE, the Open Quantum Materials Database).

Structure (CIF):
```
data_DyB
_cell_length_a 5.3430
_cell_length_b 5.3430
_cell_length_c 5.3430
_cell_angle_alpha 90.00
_cell_angle_beta 90.00
_cell_angle_gamma 90.00
_space_group_name_H-M_alt 'F m -3 m'
_space_group_IT_number 225
_space_group_name_Hall '-F 4 2 3'
loop_
_atom_site_label
_atom_site_type_symbol
_atom_site_fract_x
_atom_site_fract_y
_atom_site_fract_z
_atom_site_occupancy
Dy1 Dy 0.0000 0.0000 0.0000 1
B1 B 0.0000 0.0000 0.5000 1
```

Which is the most stable structure? model B is the most stable.

Model A:
# SmDyFe8B2

An optimized crystal structure of SmDyFe8B2 (GGA-PBE, the Open Quantum Materials Database).

Structure (CIF):
```
data_SmDyFe8B2
_cell_length_a 5.0816
_cell_length_b 5.0816
_cell_length_c 7.0307
_cell_angle_alpha 90.00
_cell_angle_beta 90.00
_cell_angle_gamma 120.00
_space_group_name_H-M_alt 'P 6/m m m'
_space_group_IT_number 191
_space_group_name_Hall '-P 6 2'
loop_
_atom_site_label
_atom_site_type_symbol
_atom_site_fract_x
_atom_site_fract_y
_atom_site_fract_z
_atom_site_occupancy
Sm1 Sm 0.0000 0.0000 0.0000 1
Dy1 Dy 0.0000 0.0000 0.5000 1
Fe1 Fe 0.0000 0.5000 0.2879 1
Fe2 Fe 0.3333 0.6667 0.0000 1
B1 B 0.3333 0.6667 0.5000 1
```

Model B:
# SmDyFe8B2

An optimized crystal structure of SmDyFe8B2 (GGA-PBE, the Open Quantum Materials Database).

Structure (CIF):
```
data_SmDyFe8B2
_cell_length_a 5.0836
_cell_length_b 5.0836
_cell_length_c 7.0306
_cell_angle_alpha 90.00
_cell_angle_beta 90.00
_cell_angle_gamma 120.00
_space_group_name_H-M_alt 'P 6/m m m'
_space_group_IT_number 191
_space_group_name_Hall '-P 6 2'
loop_
_atom_site_label
_atom_site_type_symbol
_atom_site_fract_x
_atom_site_fract_y
_atom_site_fract_z
_atom_site_occupancy
Sm1 Sm 0.0000 0.0000 0.0000 1
Dy1 Dy 0.0000 0.0000 0.5000 1
Fe1 Fe 0.0000 0.5000 0.2150 1
Fe2 Fe 0.3333 0.6667 0.5000 1
B1 B 0.3333 0.6667 0.0000 1
```

Which is the most stable structure? model A is the most stable.

Model A:
# DyTmFe8B2

An optimized crystal structure of DyTmFe8B2 (GGA-PBE, the Open Quantum Materials Database).

Structure (CIF):
```
data_DyTmFe8B2
_cell_length_a 5.0399
_cell_length_b 5.0399
_cell_length_c 7.0228
_cell_angle_alpha 90.00
_cell_angle_beta 90.00
_cell_angle_gamma 120.00
_space_group_name_H-M_alt 'P 6/m m m'
_space_group_IT_number 191
_space_group_name_Hall '-P 6 2'
loop_
_atom_site_label
_atom_site_type_symbol
_atom_site_fract_x
_atom_site_fract_y
_atom_site_fract_z
_atom_site_occupancy
Dy1 Dy 0.0000 0.0000 0.0000 1
Tm1 Tm 0.0000 0.0000 0.5000 1
Fe1 Fe 0.0000 0.5000 0.2144 1
Fe2 Fe 0.3333 0.6667 0.5000 1
B1 B 0.3333 0.6667 0.0000 1
```

Model B:
# DyTmFe8B2

An optimized crystal structure of DyTmFe8B2 (GGA-PBE, the Open Quantum Materials Database).

Structure (CIF):
```
data_DyTmFe8B2
_cell_length_a 5.0380
_cell_length_b 5.0380
_cell_length_c 7.0224
_cell_angle_alpha 90.00
_cell_angle_beta 90.00
_cell_angle_gamma 120.00
_space_group_name_H-M_alt 'P 6/m m m'
_space_group_IT_number 191
_space_group_name_Hall '-P 6 2'
loop_
_atom_site_label
_atom_site_type_symbol
_atom_site_fract_x
_atom_site_fract_y
_atom_site_fract_z
_atom_site_occupancy
Dy1 Dy 0.0000 0.0000 0.0000 1
Tm1 Tm 0.0000 0.0000 0.5000 1
Fe1 Fe 0.0000 0.5000 0.2862 1
Fe2 Fe 0.3333 0.6667 0.0000 1
B1 B 0.3333 0.6667 0.5000 1
```

Which is the most stable structure? model B is the most stable.

Model A:
# DyGeB4

An optimized crystal structure of DyGeB4 (GGA-PBE, the Open Quantum Materials Database).

Structure (CIF):
```
data_DyGeB4
_cell_length_a 3.1749
_cell_length_b 3.1749
_cell_length_c 7.7473
_cell_angle_alpha 90.00
_cell_angle_beta 90.00
_cell_angle_gamma 120.00
_space_group_name_H-M_alt 'P 6/m m m'
_space_group_IT_number 191
_space_group_name_Hall '-P 6 2'
loop_
_atom_site_label
_atom_site_type_symbol
_atom_site_fract_x
_atom_site_fract_y
_atom_site_fract_z
_atom_site_occupancy
Dy1 Dy 0.0000 0.0000 0.0000 1
Ge1 Ge 0.0000 0.0000 0.5000 1
B1 B 0.3333 0.6667 0.2526 1
```

Model B:
# DyGeB4

An optimized crystal structure of DyGeB4 (GGA-PBE, the Open Quantum Materials Database).

Structure (CIF):
```
data_DyGeB4
_cell_length_a 3.1745
_cell_length_b 5.1501
_cell_length_c 8.1876
_cell_angle_alpha 90.00
_cell_angle_beta 90.00
_cell_angle_gamma 90.00
_space_group_name_H-M_alt 'I m m m'
_space_group_IT_number 71
_space_group_name_Hall '-I 2 2'
loop_
_atom_site_label
_atom_site_type_symbol
_atom_site_fract_x
_atom_site_fract_y
_atom_site_fract_z
_atom_site_occupancy
Dy1 Dy 0.0000 0.0000 0.0000 1
Ge1 Ge 0.0000 0.0000 0.5000 1
B1 B 0.0000 0.3246 0.2618 1
```

Which is the most stable structure? model B is the most stable.